VASP calculation (PBEsol) on crystalline TiBH3 at its relaxed geometry.

Structure (CIF):
```
data_TiBH3
_cell_length_a 3.358
_cell_length_b 3.358
_cell_length_c 3.358
_cell_angle_alpha 90.00
_cell_angle_beta 90.00
_cell_angle_gamma 90.00
_space_group_name_H-M_alt 'P m -3 m'
_space_group_IT_number 221
_space_group_name_Hall '-P 4 2 3'
loop_
_atom_site_label
_atom_site_fract_x
_atom_site_fract_y
_atom_site_fract_z
Ti1 0.000 0.000 0.000
B1 0.500 0.500 0.500
H1 0.000 0.000 0.500
```

## Properties
- total energy (eV/atom) = -4.300